NpScSbO6 | PBE | relaxed

The structure in POSCAR format:
```
NpScSbO6
1.0
5.5524 0.0000 0.0000
-2.7762 4.8086 0.0000
0.0000 0.0000 9.5053
Np Sc Sb O
2 2 2 12
direct
0.3333 0.6667 0.2500 Np
0.6667 0.3333 0.7500 Np
0.3333 0.6667 0.7500 Sc
0.6667 0.3333 0.2500 Sc
0.0000 0.0000 0.0000 Sb
0.0000 0.0000 0.5000 Sb
0.0071 0.3535 0.1356 O
0.0071 0.6536 0.3644 O
0.3464 0.3535 0.3644 O
0.3464 0.9929 0.1356 O
0.3535 0.0071 0.6356 O
0.3535 0.3464 0.8644 O
0.6465 0.6536 0.1356 O
0.6465 0.9929 0.3644 O
0.6536 0.0071 0.8644 O
0.6536 0.6465 0.6356 O
0.9929 0.3464 0.6356 O
0.9929 0.6465 0.8644 O
```

Space group ... No. 163
ρ ... 6.5 g/cm3
Raw formation energy ... -22.46 eV/f.u.

---

BeTeIrN2 | PBE | relaxed

The structure in POSCAR format:
```
BeTeIrN2
1.0
3.7624 0.0000 0.0000
0.0000 3.7624 0.0000
0.0000 0.0000 5.9370
Be Te Ir N
1 1 1 2
direct
0.0000 0.0000 0.0000 Be
0.5000 0.5000 0.0000 Te
0.5000 0.5000 0.5000 Ir
0.0000 0.5000 0.5000 N
0.5000 0.0000 0.5000 N
```

Space group ... No. 123
ρ ... 7.1 g/cm3
ΔE to the lowest computed polymorph ... 0 meV/atom
Raw formation energy ... 4.53 eV/f.u.